Record 1
Compound: ScBPS2
Source: Alexandria
Functional: PBE
Structure: optimized geometry

crystal system: tetragonal
DOS at the Fermi energy: 0.438 states/eV per atom
space group: P4/mmm, No. 123
formation energy from raw total energies: 0.00 eV per atom
calculated volume: 15.3 Å³/atom
theoretical density: 3.27 g/cm3
E_tot: -26.65 eV per cell

Cell: 4.413 4.413 3.933 Å, 90.00 90.00 90.00°
Sites, in units of the cell vectors:
1 Sc 0.000 0.000 0.000
2 B 0.500 0.500 0.500
3 P 0.500 0.500 0.000
4 S 0.000 0.500 0.500
5 S 0.500 0.000 0.500

Record 2
Compound: MgCd2FeMo
Source: Alexandria
Functional: PBE
Structure: optimized geometry

crystal system: tetragonal
ΔE_f: 1046 meV/atom
DOS at the Fermi energy: 0.950 states/eV per atom
space group: P4/mmm, No. 123
calculated volume: 24.9 Å³/atom
theoretical density: 5.35 g/cm3
E_tot: -17.49 eV per cell

Cell: 5.314 5.314 4.410 Å, 90.00 90.00 90.00°
Sites, in units of the cell vectors:
1 Mg 0.000 0.000 0.000
2 Cd 0.000 0.500 0.500
3 Cd 0.500 0.000 0.500
4 Fe 0.500 0.500 0.000
5 Mo 0.500 0.500 0.500

Record 3
Compound: Dy2HoIn3
Source: Alexandria
Functional: PBE
Structure: optimized geometry

crystal system: tetragonal
ΔE_f: -464 meV/atom
DOS at the Fermi energy: 0.568 states/eV per atom
space group: P4/mmm, No. 123
calculated volume: 26.4 Å³/atom
theoretical density: 8.76 g/cm3
E_tot: -24.78 eV per cell

Cell: 3.555 3.555 12.517 Å, 90.00 90.00 90.00°
Sites, in units of the cell vectors:
1 Dy 0.000 0.000 0.167
2 Dy 0.000 0.000 0.833
3 Ho 0.000 0.000 0.500
4 In 0.500 0.500 0.000
5 In 0.500 0.500 0.334
6 In 0.500 0.500 0.666

Record 4
Compound: SrZnAgAu2
Source: Alexandria
Functional: PBE
Structure: optimized geometry

crystal system: tetragonal
ΔE_f: -432 meV/atom
DOS at the Fermi energy: 0.497 states/eV per atom
space group: I-4m2, No. 119
calculated volume: 22.8 Å³/atom
theoretical density: 9.53 g/cm3
E_tot: -14.52 eV per cell

Cell: 7.076 7.076 7.076 Å, 145.34 145.34 49.83°
Sites, in units of the cell vectors:
1 Sr 0.000 0.000 0.000
2 Zn 0.250 0.750 0.500
3 Ag 0.750 0.250 0.500
4 Au 0.391 0.391 0.000
5 Au 0.609 0.609 0.000